[1]
CsCuH3 after structural relaxation. Source: Alexandria via LeMat-Bulk, functional PBE.

Lattice parameters (Å, degrees): 4.0240 4.0240 4.0240 90.00 90.00 90.00
Positions (direct):
H 0.0000 0.5000 0.0000
Cs 0.5000 0.5000 0.5000
H 0.0000 0.0000 0.5000
H 0.5000 0.0000 0.0000
Cu 0.0000 0.0000 0.0000

Calculated values
* size of the total moment: 0.00 μB/cell
* uncorrected energy: -2.76 eV per atom
* SG: Pm-3m, No. 221

[2]
SrPuZn4 after structural relaxation. Source: Alexandria via LeMat-Bulk, functional PBE.

Lattice parameters (Å, degrees): 5.6474 5.6474 5.6474 60.00 60.00 60.00
Each line ends with the local moment (μB).
Positions (direct):
Zn 0.1230 0.6257 0.6257  0.00
Zn 0.6257 0.6257 0.6257  0.00
Zn 0.6257 0.6257 0.1230  0.00
Sr 0.2500 0.2500 0.2500  0.04
Zn 0.6257 0.1230 0.6257  0.00
Pu 0.0000 0.0000 0.0000  5.46

Calculated values
* size of the total moment: 5.80 μB/cell
* formation energy from the elements: -78.0 meV per atom
* SG: F-43m, No. 216

[3]
PmGe2Pt after structural relaxation. Source: Alexandria via LeMat-Bulk, functional PBE.

Lattice parameters (Å, degrees): 4.2730 4.3151 4.3151 90.00 90.00 90.00
Positions (direct):
Pt 0.5000 0.5000 0.5000
Ge 0.0000 0.5000 0.0000
Pm 0.5000 0.0000 0.0000
Ge 0.0000 0.0000 0.5000

Calculated values
* size of the total moment: 0.00 μB/cell
* formation energy from the elements: -571.3 meV per atom
* SG: P4/mmm, No. 123

[4]
Tb4Cd after structural relaxation. Source: Alexandria via LeMat-Bulk, functional PBE.

Lattice parameters (Å, degrees): 3.5781 3.5781 11.9281 98.63 98.63 90.00
Positions (direct):
Tb 0.5895 0.5895 0.1790
Tb 0.1963 0.1963 0.3927
Cd 0.0000 0.0000 0.0000
Tb 0.8037 0.8037 0.6073
Tb 0.4105 0.4105 0.8210

Calculated values
* size of the total moment: 0.00 μB/cell
* formation energy from the elements: -112.9 meV per atom
* SG: I4/mmm, No. 139

[5]
PmSm4Ho5 after structural relaxation. Source: Alexandria via LeMat-Bulk, functional PBE.

Lattice parameters (Å, degrees): 6.2495 7.9218 7.9218 81.05 66.77 66.77
Positions (direct):
Ho 0.6810 0.0000 0.0000
Sm 0.8002 0.6978 0.6085
Ho 0.7979 0.3787 0.9233
Sm 0.1065 0.3022 0.3915
Ho 0.7212 0.0767 0.3787
Ho 0.1766 0.9233 0.6213
Ho 0.0999 0.6213 0.0767
Sm 0.4087 0.3915 0.6978
Sm 0.4980 0.6085 0.3022
Pm 0.2205 0.0000 0.0000

Calculated values
* size of the total moment: 0.00 μB/cell
* formation energy from the elements: 288.9 meV per atom
* SG: I4, No. 79

[6]
SiPAu2 after structural relaxation. Source: Alexandria via LeMat-Bulk, functional PBE.

Lattice parameters (Å, degrees): 5.0144 5.0144 5.0144 140.67 117.83 76.09
Positions (direct):
Au 0.0248 0.0248 0.0000
P 0.4722 0.4722 0.0000
Si 0.2690 0.7690 0.5000
Au 0.7339 0.2339 0.5000

Calculated values
* size of the total moment: 0.00 μB/cell
* formation energy without anion corrections: 0.308 eV/atom
* SG: Imm2, No. 44